1.
This record from Alexandria via LeMat-Bulk describes a crystal of CaMg2Zn3 relaxed with PBEsol. The functional is SCAN.

Space-group type: No. 63
Polymorph energy (0 for the lowest one), meV per atom: 23
M_tot, μB per formula unit: 0.00
N(E_F), states/eV/f.u.: 2.5
E_form, eV/atom: -0.18

Unit cell a=6.6211 b=6.6211 c=5.9303 alpha=90.00 beta=90.00 gamma=73.82
Last column: nearest neighbours and their distance in Å.
Fractional coordinates of all 12 atoms:
1 Ca 0.1660 0.8340 0.7500  7 Zn 3.01-3.27
2 Ca 0.8340 0.1660 0.2500  7 Zn 3.01-3.27
3 Mg 0.2845 0.2845 0.0000  6 Zn 2.72-2.97, 2 Mg 2.97
4 Mg 0.2845 0.2845 0.5000  6 Zn 2.72-2.97, 2 Mg 2.97
5 Mg 0.7155 0.7155 0.0000  6 Zn 2.72-2.97, 2 Mg 2.97
6 Mg 0.7155 0.7155 0.5000  6 Zn 2.72-2.97, 2 Mg 2.97
7 Zn 0.0691 0.6746 0.2500  2 Zn 2.46-2.71, 2 Mg 2.72
8 Zn 0.3254 0.9309 0.2500  2 Zn 2.46-2.71, 2 Mg 2.72
9 Zn 0.4556 0.5444 0.2500  2 Zn 2.46, 4 Mg 2.74
10 Zn 0.5444 0.4556 0.7500  2 Zn 2.46, 4 Mg 2.74
11 Zn 0.6746 0.0691 0.7500  2 Zn 2.46-2.71, 2 Mg 2.72
12 Zn 0.9309 0.3254 0.7500  2 Zn 2.46-2.71, 2 Mg 2.72



2.
This record from Alexandria via LeMat-Bulk describes a crystal of Na3NbCo relaxed with PBEsol. The functional is SCAN.

Space-group type: No. 221
M_tot, μB per formula unit: 7.42
N(E_F), states/eV/f.u.: 2.4
E_form, eV/atom: 1.67

Unit cell a=5.7804 b=5.7804 c=5.7804 alpha=90.00 beta=90.00 gamma=90.00
Last column: nearest neighbours and their distance in Å.
Fractional coordinates of all 5 atoms:
1 Na 0.0000 0.0000 0.5000  2 Nb 2.89
2 Na 0.0000 0.5000 0.0000  2 Nb 2.89
3 Na 0.5000 0.0000 0.0000  2 Nb 2.89
4 Nb 0.0000 0.0000 0.0000  6 Na 2.89
5 Co 0.5000 0.5000 0.5000  12 Na 4.09